[1]
Pa2GeMo | PBE-GGA | relaxed

The structure belongs to space group P4/mmm (No. 123); the cell edges are 3.710, 3.710 and 6.189 Å and the angles 90.00°, 90.00° and 90.00°. Symmetry generates all atoms from Pa at (0.000, 0.000, 0.238), Ge at (0.500, 0.500, 0.000) and Mo at (0.500, 0.500, 0.500).

For the formation energy, the calculation gives -17.8 kJ/mol of atoms. The value obtained for the relative energy among the computed polymorphs is 22 meV per atom.

---

[2]
LiPr2US4 | PBE-GGA | relaxed

The structure belongs to space group P2/m (No. 10); the cell edges are 6.901, 3.980 and 6.907 Å and the angles 90.00°, 109.33° and 90.00°. Symmetry generates all atoms from Li at (0.000, 0.000, 0.000), Pr at (0.000, 0.500, 0.500), Pr at (0.500, 0.000, 0.500), U at (0.500, 0.500, 0.000), S at (0.242, 0.500, 0.230) and S at (0.253, 0.000, 0.769).

As for the uncorrected formation energy: -1701 meV/atom.

---

no.,magnetic moment (Bohr magnetons per cell),calculated volume (Å³/atom),DFT total energy (eV per formula unit)
1,0.000,21.30,-35.18
2,2.614,22.38,-52.88